DFT (GGA-PBE) results for a relaxed structure of NbIn3As.

Output
As for the polymorph energy (0 for the lowest one): 107 meV/atom. The formation energy is 1020 meV per atom.

a b c (Å): 5.290 5.290 5.290
angles (deg): 90.00 90.00 90.00
Each line ends with the local moment (μB).
Atoms (fractional coordinates):
As: 0.000 0.000 0.000  0.06
In: 0.000 0.500 0.000  0.00
In: 0.000 0.000 0.500  0.00
In: 0.500 0.000 0.000  -0.02
Nb: 0.500 0.500 0.500  2.61

---

DFT (GGA-PBE) results for a relaxed structure of Ba3GaCl.

Output
As for the polymorph energy (0 for the lowest one): 0 meV/atom. As for the energy relative to the elements, uncorrected: -0.617 eV per atom.

a b c (Å): 6.011 6.011 6.011
angles (deg): 90.00 90.00 90.00
Atoms (fractional coordinates):
Ga: 0.500 0.500 0.500
Ba: 0.500 0.000 0.000
Ba: 0.000 0.500 0.000
Ba: 0.000 0.000 0.500
Cl: 0.000 0.000 0.000